# CaCo2Sb2 | Alexandria via LeMat-Bulk | PBE | relaxed
data_CaCo2Sb2
_cell_length_a 4.3043
_cell_length_b 4.3043
_cell_length_c 10.9820
_cell_angle_alpha 90.00
_cell_angle_beta 90.00
_cell_angle_gamma 90.00
_space_group_name_H-M_alt 'I 4/m m m'
_space_group_IT_number 139
_space_group_name_Hall '-I 4 2'
loop_
_atom_site_label
_atom_site_fract_x
_atom_site_fract_y
_atom_site_fract_z
Ca1 0.0000 0.0000 0.0000
Co1 0.0000 0.5000 0.2500
Sb1 0.0000 0.0000 0.3642
# V   20.35 A^3/atom
# ΔE_f (raw)   -0.335 eV/atom
# Density of states at the Fermi level   5.25 states/eV per cell
# Final energy   -52.3 eV for the cell shown
# Magnetization   0.294 μB per atom